Record 1
This record from Alexandria via LeMat-Bulk describes a geometry-optimized KNa7Pb2O7 structure. The functional is GGA-PBEsol.

Values from the calculation:
Crystal system: monoclinic
Raw total energy in eV for the cell shown: -309.95
Formation energy without anion corrections in eV/atom: -1.28

Geometry as CIF:
```
data_KNa7Pb2O7
_chemical_formula_sum 'K4 Na28 Pb8 O28'
_cell_length_a 17.5575
_cell_length_b 5.9408
_cell_length_c 10.6242
_cell_angle_alpha 90.00
_cell_angle_beta 90.33
_cell_angle_gamma 90.00
_space_group_name_H-M_alt 'P 1 21/c 1'
_space_group_IT_number 14
_space_group_name_Hall '-P 2ybc'
loop_
_atom_site_label
_atom_site_type_symbol
_atom_site_fract_x
_atom_site_fract_y
_atom_site_fract_z
K1 K 0.0361 0.0142 0.3596
Na1 Na 0.0793 0.0588 0.0694
Na2 Na 0.2055 0.0990 0.4082
Na3 Na 0.2459 0.6451 0.5406
Na4 Na 0.3051 0.1816 0.6662
Na5 Na 0.3222 0.7145 0.7935
Na6 Na 0.3648 0.1652 0.9204
Na7 Na 0.4711 0.1673 0.1863
Pb1 Pb 0.1422 0.5668 0.2479
Pb2 Pb 0.4224 0.6826 0.0584
O1 O 0.0468 0.5137 0.3601
O2 O 0.1173 0.0638 0.5702
O3 O 0.1662 0.5908 0.7204
O4 O 0.2401 0.0441 0.8437
O5 O 0.3193 0.5259 0.9835
O6 O 0.3617 0.5137 0.6172
O7 O 0.4169 0.5105 0.2415
```

***

Record 2
This record from Alexandria via LeMat-Bulk describes a geometry-optimized K3NaRe2O9 structure. The functional is GGA-PBEsol.

Values from the calculation:
Crystal system: hexagonal
Raw total energy in eV for the cell shown: -211.57
Formation energy without anion corrections in eV/atom: -1.81

Geometry as CIF:
```
data_K3NaRe2O9
_chemical_formula_sum 'K6 Na2 Re4 O18'
_cell_length_a 5.9994
_cell_length_b 5.9994
_cell_length_c 14.4549
_cell_angle_alpha 90.00
_cell_angle_beta 90.00
_cell_angle_gamma 120.00
_space_group_name_H-M_alt 'P 63/m m c'
_space_group_IT_number 194
_space_group_name_Hall '-P 6c 2c'
loop_
_atom_site_label
_atom_site_type_symbol
_atom_site_fract_x
_atom_site_fract_y
_atom_site_fract_z
K1 K 0.0000 0.0000 0.2500
K2 K 0.3333 0.6667 0.1185
Na1 Na 0.0000 0.0000 0.0000
Re1 Re 0.3333 0.6667 0.6496
O1 O 0.0578 0.5289 0.7500
O2 O 0.1805 0.3611 0.5943
```

***

Record 3
This record from Alexandria via LeMat-Bulk describes a geometry-optimized K3NaRu2O8 structure. The functional is GGA-PBEsol.

Values from the calculation:
Crystal system: trigonal
Raw total energy in eV for the cell shown: -85.16
Formation energy without anion corrections in eV/atom: -1.29

Geometry as CIF:
```
data_K3NaRu2O8
_chemical_formula_sum 'K3 Na1 Ru2 O8'
_cell_length_a 5.9210
_cell_length_b 5.9210
_cell_length_c 7.6360
_cell_angle_alpha 90.00
_cell_angle_beta 90.00
_cell_angle_gamma 120.00
_space_group_name_H-M_alt 'P -3 m 1'
_space_group_IT_number 164
_space_group_name_Hall '-P 3 2"'
loop_
_atom_site_label
_atom_site_type_symbol
_atom_site_fract_x
_atom_site_fract_y
_atom_site_fract_z
K1 K 0.0000 0.0000 0.0000
K2 K 0.3333 0.6667 0.6468
Na1 Na 0.0000 0.0000 0.5000
Ru1 Ru 0.3333 0.6667 0.2077
O1 O 0.1744 0.3489 0.3024
O2 O 0.3333 0.6667 0.9789
```

***

Record 4
This record from Alexandria via LeMat-Bulk describes a geometry-optimized K3NaRu2O8 structure. The functional is GGA-PBEsol.

Values from the calculation:
Crystal system: monoclinic
Raw total energy in eV for the cell shown: -341.00
Formation energy without anion corrections in eV/atom: -1.29

Geometry as CIF:
```
data_K3NaRu2O8
_chemical_formula_sum 'K12 Na4 Ru8 O32'
_cell_length_a 10.2435
_cell_length_b 5.9466
_cell_length_c 15.0985
_cell_angle_alpha 90.00
_cell_angle_beta 91.67
_cell_angle_gamma 90.00
_space_group_name_H-M_alt 'C 1 2/c 1'
_space_group_IT_number 15
_space_group_name_Hall '-C 2yc'
loop_
_atom_site_label
_atom_site_type_symbol
_atom_site_fract_x
_atom_site_fract_y
_atom_site_fract_z
K1 K 0.0000 0.0701 0.2500
K2 K 0.1696 0.4696 0.9186
Na1 Na 0.0000 0.0000 0.0000
Ru1 Ru 0.1652 0.4729 0.6434
O1 O 0.0659 0.2324 0.6253
O2 O 0.0840 0.3074 0.0816
O3 O 0.1833 0.4277 0.2526
O4 O 0.1854 0.0522 0.4131
```

***

Q: Which of these has the highest raw total energy?
A: number 3

***

Q: Which value of raw total energy does entry 4 give?
A: -341.00 eV for the cell shown